Material: SmUBiN2
Method: DFT, GGA-PBE
State: relaxed

Values from the calculation:
D(E_F), states/eV per cell: 6.4
Formation energy from raw total energies, eV per atom: -1.242
Final energy, eV/atom: -8.550

a = 3.952 Å, b = 3.952 Å, c = 12.974 Å
α = 90.00°, β = 90.00°, γ = 90.00°
Space group I4mm (No. 107)
Unique sites:
1 Sm 0.000 0.000 0.000 (multiplicity 2)
2 U 0.000 0.000 0.330 (multiplicity 2)
3 Bi 0.000 0.000 0.670 (multiplicity 2)
4 N 0.000 0.500 0.399 (multiplicity 4)

***

Material: Li2CaPdF
Method: DFT, GGA-PBE
State: relaxed

Values from the calculation:
D(E_F), states/eV per cell: 1.1
Formation energy from raw total energies, eV per atom: -1.332
Final energy, eV/atom: -3.911

a = 4.106 Å, b = 4.106 Å, c = 4.859 Å
α = 90.00°, β = 90.00°, γ = 90.00°
Space group P4/mmm (No. 123)
Unique sites:
1 Li 0.000 0.500 0.000 (multiplicity 2)
2 Ca 0.000 0.000 0.500 (multiplicity 1)
3 Pd 0.500 0.500 0.500 (multiplicity 1)
4 F 0.000 0.000 0.000 (multiplicity 1)

***

Material: HfSe3
Method: DFT, GGA-PBE
State: relaxed

Values from the calculation:
D(E_F), states/eV per cell: 15.2
Formation energy from raw total energies, eV per atom: -0.231
Final energy, eV/atom: -5.333

a = 6.814 Å, b = 6.814 Å, c = 6.814 Å
α = 90.00°, β = 90.00°, γ = 90.00°
Space group Fm-3m (No. 225)
Unique sites:
1 Hf 0.000 0.000 0.000 (multiplicity 4)
2 Se 0.000 0.000 0.500 (multiplicity 4)
3 Se 0.250 0.250 0.250 (multiplicity 8)

***

Material: PmUPdRu
Method: DFT, GGA-PBE
State: relaxed

Values from the calculation:
D(E_F), states/eV per cell: 18.4
Formation energy from the elements, eV per atom: -0.224
Final energy, eV/atom: -7.851

a = 6.962 Å, b = 6.962 Å, c = 6.962 Å
α = 90.00°, β = 90.00°, γ = 90.00°
Space group F-43m (No. 216)
Unique sites:
1 Pm 0.000 0.000 0.000 (multiplicity 4)
2 U 0.000 0.000 0.500 (multiplicity 4)
3 Pd 0.250 0.250 0.250 (multiplicity 4)
4 Ru 0.250 0.250 0.750 (multiplicity 4)

***

Material: LaYBe4
Method: DFT, GGA-PBE
State: relaxed

Values from the calculation:
D(E_F), states/eV per cell: 10.8
Formation energy from the elements, eV per atom: 0.157
Final energy, eV/atom: -4.226

a = 7.257 Å, b = 7.257 Å, c = 7.257 Å
α = 90.00°, β = 90.00°, γ = 90.00°
Space group F-43m (No. 216)
Unique sites:
1 La 0.000 0.000 0.000 (multiplicity 4)
2 Y 0.250 0.250 0.750 (multiplicity 4)
3 Be 0.121 0.121 0.379 (multiplicity 16)

***

Material: CoGe4Ir
Method: DFT, GGA-PBE
State: relaxed

Values from the calculation:
D(E_F), states/eV per cell: 5.3
Formation energy from the elements, eV per atom: -0.173
Final energy, eV/atom: -5.912

a = 5.775 Å, b = 5.785 Å, c = 5.925 Å
α = 90.00°, β = 91.53°, γ = 90.00°
Space group C2/m (No. 12)
Unique sites:
1 Co 0.000 0.000 0.000 (multiplicity 2)
2 Ge 0.250 0.245 0.767 (multiplicity 8)
3 Ir 0.000 0.500 0.500 (multiplicity 2)

***

Material: PrLuMg2
Method: DFT, GGA-PBE
State: relaxed

Values from the calculation:
D(E_F), states/eV per cell: 4.0
Formation energy from the elements, eV per atom: -0.070
Final energy, eV/atom: -3.193

a = 5.344 Å, b = 5.344 Å, c = 3.908 Å
α = 90.00°, β = 90.00°, γ = 90.00°
Space group P4/mmm (No. 123)
Unique sites:
1 Pr 0.000 0.000 0.000 (multiplicity 1)
2 Lu 0.500 0.500 0.000 (multiplicity 1)
3 Mg 0.000 0.500 0.500 (multiplicity 2)

***

Material: Pm7Er3
Method: DFT, GGA-PBE
State: relaxed

Values from the calculation:
D(E_F), states/eV per cell: 17.9
Formation energy from the elements, eV per atom: 0.159
Final energy, eV/atom: -4.535

a = 11.6538 Å, b = 11.6538 Å, c = 5.7258 Å
α = 90.00°, β = 90.00°, γ = 120.00°
Space group P6_3mc (No. 186)
Unique sites:
1 Pm 0.0496 0.5248 0.0000 (multiplicity 6)
2 Pm 0.1152 0.2305 0.9966 (multiplicity 6)
3 Pm 0.3333 0.6667 0.9949 (multiplicity 2)
4 Er 0.2242 0.4484 0.4969 (multiplicity 6)